## ZnNiO2 (PBE+U)

Data for crystalline ZnNiO2 at its relaxed geometry.

Calculated values
electronic total energy	-4.381	eV per atom

a = 4.1488 Å, b = 4.1488 Å, c = 10.3547 Å
α = 90.00°, β = 90.00°, γ = 90.00°
With the nearest neighbours (Å) after each atom.
Fractional coordinates of all 16 atoms:
Zn 0.0000 0.0000 0.0000  4 O 2.02
Zn 0.0000 0.5000 0.2500  4 O 2.02
Zn 0.5000 0.0000 0.7500  4 O 2.02
Zn 0.5000 0.5000 0.5000  4 O 2.02
Ni 0.0000 0.0000 0.5000  4 O 1.90
Ni 0.0000 0.5000 0.7500  4 O 1.90
Ni 0.5000 0.0000 0.2500  4 O 1.90
Ni 0.5000 0.5000 0.0000  4 O 1.90
O 0.2239 0.7500 0.6250  2 Ni 1.90, 2 Zn 2.02
O 0.2500 0.7239 0.8750  2 Ni 1.90, 2 Zn 2.02
O 0.2500 0.7761 0.3750  2 Ni 1.90, 2 Zn 2.02
O 0.2761 0.7500 0.1250  2 Ni 1.90, 2 Zn 2.02
O 0.7239 0.2500 0.1250  2 Ni 1.90, 2 Zn 2.02
O 0.7500 0.2239 0.3750  2 Ni 1.90, 2 Zn 2.02
O 0.7500 0.2761 0.8750  2 Ni 1.90, 2 Zn 2.02
O 0.7761 0.2500 0.6250  2 Ni 1.90, 2 Zn 2.02